# Cs2FePO4, relaxed, DFT GGA+U
data_Cs2FePO4
_chemical_formula_sum 'Cs16 Fe8 P8 O32'
_cell_length_a 5.374
_cell_length_b 12.327
_cell_length_c 21.473
_cell_angle_alpha 90.00
_cell_angle_beta 90.00
_cell_angle_gamma 90.00
_symmetry_space_group_name_H-M 'F d d d'
_symmetry_Int_Tables_number 70
loop_
_symmetry_equiv_pos_as_xyz
'x,y,z'
'-x,-y,-z'
'-x+1/4,-y+1/4,z'
'x+1/4,y+1/4,-z'
'x,-y+1/4,-z+1/4'
'-x,y+1/4,z+1/4'
'-x+1/4,y,-z+1/4'
'x+1/4,-y,z+1/4'
'x,y+1/2,z+1/2'
'-x,-y+1/2,-z+1/2'
'-x+1/4,-y+3/4,z+1/2'
'x+1/4,y+3/4,-z+1/2'
'x,-y+3/4,-z+3/4'
'-x,y+3/4,z+3/4'
'-x+1/4,y+1/2,-z+3/4'
'x+1/4,-y+1/2,z+3/4'
'x+1/2,y,z+1/2'
'-x+1/2,-y,-z+1/2'
'-x+3/4,-y+1/4,z+1/2'
'x+3/4,y+1/4,-z+1/2'
'x+1/2,-y+1/4,-z+3/4'
'-x+1/2,y+1/4,z+3/4'
'-x+3/4,y,-z+3/4'
'x+3/4,-y,z+3/4'
'x+1/2,y+1/2,z'
'-x+1/2,-y+1/2,-z'
'-x+3/4,-y+3/4,z'
'x+3/4,y+3/4,-z'
'x+1/2,-y+3/4,-z+1/4'
'-x+1/2,y+3/4,z+1/4'
'-x+3/4,y+1/2,-z+1/4'
'x+3/4,-y+1/2,z+1/4'
loop_
_atom_site_label
_atom_site_type_symbol
_atom_site_fract_x
_atom_site_fract_y
_atom_site_fract_z
_atom_site_occupancy
Cs1 Cs 0.125 0.125 0.298 1
Fe1 Fe 0.125 0.125 0.125 1
P1 P 0.125 0.125 0.625 1
O1 O 0.052 0.302 0.835 1
# total moment = 0.375 μB per atom
# uncorrected energy = -5.821 eV per atom